This record from Alexandria via LeMat-Bulk describes crystalline Pm12Dy5Ho at its relaxed geometry. The functional is GGA-PBE.

```
18
Lattice="-8.147 7.317 -2.161 -2.608 2.683 -9.912 -3.976 -4.478 -0.165" Properties=species:S:1:pos:R:3 pbc="T T T"
Pm -2.796 2.432 -0.733
Pm -10.518 5.570 -8.487
Pm -9.327 0.407 -1.593
Pm -6.934 2.238 -4.455
Pm -8.355 -0.239 -7.492
Pm -3.345 -1.099 -0.434
Pm -6.376 5.761 -4.746
Pm -4.213 -0.048 -3.751
Pm -1.811 1.775 -6.628
Pm -8.778 3.938 -1.892
Pm -12.920 3.747 -5.609
Pm -7.796 3.284 -7.782
Dy -3.584 3.332 -4.033
Dy -5.085 0.770 -7.047
Dy -7.172 6.667 -8.040
Dy -9.646 4.752 -5.191
Dy -6.062 1.420 -1.163
Ho 0.000 0.000 0.000
```

Output
Uncorrected energy ... -82.62 eV per cell
Space-group type ... C2/m (12)
Formation energy from the elements ... 1.977 eV/f.u.